(1)
# SmMgAu, relaxed, DFT PBE
# Magnetic moment (μB per cell): 0.38
# E_form (meV/atom): -483
data_SmMgAu
_chemical_formula_sum 'Sm2 Mg2 Au2'
_space_group_name_H-M_alt 'I 4 m m'
_space_group_IT_number 107
_space_group_name_Hall 'I 4 -2'
_cell_length_a 3.526
_cell_length_b 3.526
_cell_length_c 11.522
_cell_angle_alpha 90.00
_cell_angle_beta 90.00
_cell_angle_gamma 90.00
loop_
_atom_site_label
_atom_site_fract_x
_atom_site_fract_y
_atom_site_fract_z
Sm1 0.000 0.000 0.000
Mg1 0.000 0.000 0.709
Au1 0.000 0.000 0.332


(2)
# Sm5MgAu4, relaxed, DFT PBE
# Magnetic moment (μB per cell): 0.00
# E_form (meV/atom): -658
data_Sm5MgAu4
_chemical_formula_sum 'Sm5 Mg1 Au4'
_space_group_name_H-M_alt 'P 4/m m m'
_space_group_IT_number 123
_space_group_name_Hall '-P 4 2'
_cell_length_a 3.702
_cell_length_b 3.702
_cell_length_c 18.542
_cell_angle_alpha 90.00
_cell_angle_beta 90.00
_cell_angle_gamma 90.00
loop_
_atom_site_label
_atom_site_fract_x
_atom_site_fract_y
_atom_site_fract_z
Sm1 0.000 0.000 0.000
Sm2 0.000 0.000 0.197
Sm3 0.000 0.000 0.391
Mg1 0.500 0.500 0.500
Au1 0.500 0.500 0.098
Au2 0.500 0.500 0.299


(3)
# SmMg3Au2, relaxed, DFT PBE
# Magnetic moment (μB per cell): 0.00
# E_form (meV/atom): -580
data_SmMg3Au2
_chemical_formula_sum 'Sm2 Mg6 Au4'
_space_group_name_H-M_alt 'P m c 21'
_space_group_IT_number 26
_cell_length_a 4.336
_cell_length_b 8.468
_cell_length_c 7.272
_cell_angle_alpha 90.00
_cell_angle_beta 90.00
_cell_angle_gamma 90.00
loop_
_space_group_symop_operation_xyz
'x,y,z'
'-x,-y,z+1/2'
'-x,y,z'
'x,-y,z+1/2'
loop_
_atom_site_label
_atom_site_fract_x
_atom_site_fract_y
_atom_site_fract_z
Sm1 0.000 0.084 0.000
Mg1 0.000 0.319 0.610
Mg2 0.500 0.201 0.332
Mg3 0.500 0.420 0.940
Au1 0.000 0.382 0.235
Au2 0.500 0.126 0.711


(4)
# SmMg5Au2, relaxed, DFT PBE
# Magnetic moment (μB per cell): 0.00
# E_form (meV/atom): -440
data_SmMg5Au2
_chemical_formula_sum 'Sm2 Mg10 Au4'
_space_group_name_H-M_alt 'I m m m'
_space_group_IT_number 71
_space_group_name_Hall '-I 2 2'
_cell_length_a 3.962
_cell_length_b 8.594
_cell_length_c 10.571
_cell_angle_alpha 90.00
_cell_angle_beta 90.00
_cell_angle_gamma 90.00
loop_
_atom_site_label
_atom_site_fract_x
_atom_site_fract_y
_atom_site_fract_z
Sm1 0.000 0.000 0.000
Mg1 0.000 0.192 0.348
Mg2 0.000 0.500 0.000
Au1 0.000 0.500 0.270


(5)
# Sm2MgAu6, relaxed, DFT PBE
# Magnetic moment (μB per cell): 0.00
# E_form (meV/atom): -625
data_Sm2MgAu6
_chemical_formula_sum 'Sm4 Mg2 Au12'
_space_group_name_H-M_alt 'C 1 2/m 1'
_space_group_IT_number 12
_cell_length_a 11.026
_cell_length_b 6.347
_cell_length_c 5.561
_cell_angle_alpha 90.00
_cell_angle_beta 90.06
_cell_angle_gamma 90.00
loop_
_space_group_symop_operation_xyz
'x,y,z'
'-x,-y,-z'
'-x,y,-z'
'x,-y,z'
'x+1/2,y+1/2,z'
'-x+1/2,-y+1/2,-z'
'-x+1/2,y+1/2,-z'
'x+1/2,-y+1/2,z'
loop_
_atom_site_label
_atom_site_fract_x
_atom_site_fract_y
_atom_site_fract_z
Sm1 0.167 0.000 0.169
Mg1 0.000 0.500 0.000
Au1 0.091 0.227 0.686
Au2 0.183 0.500 0.312


(6)
# SmMg5Au6, relaxed, DFT PBE
# Magnetic moment (μB per cell): 0.00
# E_form (meV/atom): -627
data_SmMg5Au6
_chemical_formula_sum 'Sm1 Mg5 Au6'
_space_group_name_H-M_alt 'P 1 2/m 1'
_space_group_IT_number 10
_cell_length_a 4.773
_cell_length_b 6.833
_cell_length_c 7.510
_cell_angle_alpha 90.00
_cell_angle_beta 107.88
_cell_angle_gamma 90.00
loop_
_space_group_symop_operation_xyz
'x,y,z'
'-x,-y,-z'
'-x,y,-z'
'x,-y,z'
loop_
_atom_site_label
_atom_site_fract_x
_atom_site_fract_y
_atom_site_fract_z
Sm1 0.000 0.000 0.000
Mg1 0.000 0.500 0.000
Mg2 0.328 0.000 0.657
Mg3 0.333 0.500 0.674
Au1 0.177 0.263 0.346
Au2 0.500 0.270 0.000